1.
A plane-wave DFT calculation with PBE-GGA was carried out for crystalline K3PbCl6 at its relaxed geometry.

a b c (Å): 7.5757 8.0681 13.1311
angles (deg): 90.00 124.03 90.00
Element x y z (fractional)
K: 0.0000 0.0000 0.0000
K: 0.0000 0.5000 0.5000
K: 0.2139 0.0748 0.7422
K: 0.2139 0.4252 0.2422
K: 0.7861 0.5748 0.7578
K: 0.7861 0.9252 0.2578
Pb: 0.5000 0.0000 0.5000
Pb: 0.5000 0.5000 0.0000
Cl: 0.1502 0.1808 0.4416
Cl: 0.1502 0.3192 0.9416
Cl: 0.2492 0.7193 0.4203
Cl: 0.2492 0.7807 0.9203
Cl: 0.4028 0.0622 0.2683
Cl: 0.4028 0.4378 0.7683
Cl: 0.5972 0.5622 0.2317
Cl: 0.5972 0.9378 0.7317
Cl: 0.7508 0.2193 0.0797
Cl: 0.7508 0.2807 0.5797
Cl: 0.8498 0.6808 0.0584
Cl: 0.8498 0.8192 0.5584

Calculated values
Formation energy without anion corrections: -1513 meV/atom
Total moment: 0.05 μB/atom

***

2.
A plane-wave DFT calculation with PBE-GGA was carried out for crystalline KPbCl at its relaxed geometry.

a b c (Å): 5.6012 5.6012 3.5779
angles (deg): 90.00 90.00 120.00
Element x y z (fractional)
K: 0.0000 0.0000 0.0000
Pb: 0.6667 0.3333 0.5000
Cl: 0.3333 0.6667 0.5000

Calculated values
Formation energy without anion corrections: -520 meV/atom
Total moment: 0.00 μB/atom
Offset from the most stable computed form: 585.3 meV/atom

***

3.
A plane-wave DFT calculation with PBE-GGA was carried out for crystalline K2PbCl5 at its relaxed geometry.

a b c (Å): 9.7857 8.3759 6.4816
angles (deg): 81.31 57.79 40.90
Element x y z (fractional)
K: 0.1867 0.1867 0.8133
K: 0.8133 0.8133 0.1867
Pb: 0.5000 0.5000 0.5000
Cl: 0.0000 0.0000 0.0000
Cl: 0.2183 0.5129 0.4871
Cl: 0.4871 0.7817 0.2183
Cl: 0.5129 0.2183 0.7817
Cl: 0.7817 0.4871 0.5129

Calculated values
Formation energy without anion corrections: -1284 meV/atom
Total moment: 0.00 μB/atom
Offset from the most stable computed form: 101.2 meV/atom

***

4.
A plane-wave DFT calculation with PBE-GGA was carried out for crystalline KPbCl at its relaxed geometry.

a b c (Å): 8.0398 8.0398 8.0398
angles (deg): 153.71 153.71 37.52
Element x y z (fractional)
K: 0.0000 0.0000 0.0000
Pb: 0.7275 0.7275 0.0000
Cl: 0.4009 0.4009 0.0000

Calculated values
Formation energy without anion corrections: -732 meV/atom
Total moment: 0.00 μB/atom
Offset from the most stable computed form: 373.1 meV/atom

***

5.
A plane-wave DFT calculation with PBE-GGA was carried out for crystalline K2PbCl2 at its relaxed geometry.

a b c (Å): 8.1409 8.1409 8.1409
angles (deg): 140.16 140.16 57.61
Element x y z (fractional)
K: 0.2500 0.7500 0.5000
K: 0.7500 0.2500 0.5000
Pb: 0.0000 0.0000 0.0000
Cl: 0.3380 0.3380 0.0000
Cl: 0.6620 0.6620 0.0000

Calculated values
Formation energy without anion corrections: -922 meV/atom
Total moment: 0.40 μB/atom

***

6.
A plane-wave DFT calculation with PBE-GGA was carried out for crystalline K2PbCl at its relaxed geometry.

a b c (Å): 6.3227 6.3227 3.5528
angles (deg): 90.00 90.00 90.00
Element x y z (fractional)
K: 0.0000 0.5000 0.0000
K: 0.5000 0.0000 0.0000
Pb: 0.0000 0.0000 0.5000
Cl: 0.5000 0.5000 0.5000

Calculated values
Formation energy without anion corrections: -675 meV/atom
Total moment: 0.00 μB/atom
Offset from the most stable computed form: 266.0 meV/atom

***

7.
A plane-wave DFT calculation with PBE-GGA was carried out for crystalline K2PbCl at its relaxed geometry.

a b c (Å): 6.0537 6.0537 6.0537
angles (deg): 60.00 60.00 60.00
Element x y z (fractional)
K: 0.2500 0.2500 0.2500
K: 0.7500 0.7500 0.7500
Pb: 0.0000 0.0000 0.0000
Cl: 0.5000 0.5000 0.5000

Calculated values
Formation energy without anion corrections: -518 meV/atom
Total moment: 0.75 μB/atom
Offset from the most stable computed form: 423.3 meV/atom

***

8.
A plane-wave DFT calculation with PBE-GGA was carried out for crystalline KPb3Cl at its relaxed geometry.

a b c (Å): 5.7505 5.7505 5.7505
angles (deg): 90.00 90.00 90.00
Element x y z (fractional)
K: 0.0000 0.0000 0.0000
Pb: 0.0000 0.5000 0.5000
Pb: 0.5000 0.0000 0.5000
Pb: 0.5000 0.5000 0.0000
Cl: 0.5000 0.5000 0.5000

Calculated values
Formation energy without anion corrections: 46 meV/atom
Total moment: 0.00 μB/atom
Offset from the most stable computed form: 0.0 meV/atom

***

9.
A plane-wave DFT calculation with PBE-GGA was carried out for crystalline K2Pb2Cl at its relaxed geometry.

a b c (Å): 6.6876 6.6876 6.6876
angles (deg): 115.51 115.51 97.97
Element x y z (fractional)
K: 0.2500 0.7500 0.5000
K: 0.7500 0.2500 0.5000
Pb: 0.1597 0.1597 0.0000
Pb: 0.8403 0.8403 0.0000
Cl: 0.5000 0.5000 0.0000

Calculated values
Formation energy without anion corrections: -258 meV/atom
Total moment: 0.00 μB/atom

***

10.
A plane-wave DFT calculation with PBE-GGA was carried out for crystalline KPbCl at its relaxed geometry.

a b c (Å): 5.4023 5.4023 5.4023
angles (deg): 60.00 60.00 60.00
Element x y z (fractional)
K: 0.0000 0.0000 0.0000
Pb: 0.5000 0.5000 0.5000
Cl: 0.7500 0.7500 0.7500

Calculated values
Formation energy without anion corrections: -416 meV/atom
Total moment: 0.00 μB/atom
Offset from the most stable computed form: 689.2 meV/atom

***

11.
A plane-wave DFT calculation with PBE-GGA was carried out for crystalline KPb3Cl at its relaxed geometry.

a b c (Å): 6.1722 6.1722 6.1722
angles (deg): 90.00 90.00 90.00
Element x y z (fractional)
K: 0.0000 0.0000 0.0000
Pb: 0.0000 0.0000 0.5000
Pb: 0.0000 0.5000 0.0000
Pb: 0.5000 0.0000 0.0000
Cl: 0.5000 0.5000 0.5000

Calculated values
Formation energy without anion corrections: 814 meV/atom
Total moment: 0.00 μB/atom
Offset from the most stable computed form: 768.0 meV/atom

***

12.
A plane-wave DFT calculation with PBE-GGA was carried out for crystalline K2PbCl at its relaxed geometry.

a b c (Å): 6.3861 6.3861 6.3861
angles (deg): 131.47 131.47 71.07
Element x y z (fractional)
K: 0.2500 0.7500 0.5000
K: 0.7500 0.2500 0.5000
Pb: 0.0000 0.0000 0.0000
Cl: 0.5000 0.5000 0.0000

Calculated values
Formation energy without anion corrections: -485 meV/atom
Total moment: 0.00 μB/atom
Offset from the most stable computed form: 456.5 meV/atom

***

13.
A plane-wave DFT calculation with PBE-GGA was carried out for crystalline K4PbCl6 at its relaxed geometry.

a b c (Å): 8.9335 8.9335 8.9335
angles (deg): 90.33 90.33 90.33
Element x y z (fractional)
K: 0.1231 0.7500 0.3769
K: 0.2500 0.2500 0.2500
K: 0.2500 0.6231 0.8769
K: 0.3769 0.1231 0.7500
K: 0.6231 0.8769 0.2500
K: 0.7500 0.3769 0.1231
K: 0.7500 0.7500 0.7500
K: 0.8769 0.2500 0.6231
Pb: 0.0000 0.0000 0.0000
Pb: 0.5000 0.5000 0.5000
Cl: 0.0562 0.9227 0.6919
Cl: 0.0773 0.3081 0.9438
Cl: 0.1919 0.4227 0.5562
Cl: 0.3081 0.9438 0.0773
Cl: 0.4227 0.5562 0.1919
Cl: 0.4438 0.8081 0.5773
Cl: 0.5562 0.1919 0.4227
Cl: 0.5773 0.4438 0.8081
Cl: 0.6919 0.0562 0.9227
Cl: 0.8081 0.5773 0.4438
Cl: 0.9227 0.6919 0.0562
Cl: 0.9438 0.0773 0.3081

Calculated values
Formation energy without anion corrections: -1728 meV/atom
Total moment: 0.00 μB/atom

***

14.
A plane-wave DFT calculation with PBE-GGA was carried out for crystalline K2PbCl at its relaxed geometry.

a b c (Å): 9.9356 9.9356 3.7564
angles (deg): 90.09 90.09 21.25
Element x y z (fractional)
K: 0.0000 0.0000 0.0000
K: 0.1945 0.1945 0.9998
Pb: 0.3551 0.3551 0.4988
Cl: 0.6004 0.6004 0.4991

Calculated values
Formation energy without anion corrections: -908 meV/atom
Total moment: 0.00 μB/atom
Offset from the most stable computed form: 33.3 meV/atom

***

15.
A plane-wave DFT calculation with PBE-GGA was carried out for crystalline K3PbCl7 at its relaxed geometry.

a b c (Å): 7.2904 7.2904 7.8975
angles (deg): 107.51 107.51 86.88
Element x y z (fractional)
K: 0.0000 0.0000 0.0000
K: 0.2894 0.7383 0.5358
K: 0.7383 0.2894 0.5358
Pb: 0.4947 0.4947 0.0229
Cl: 0.1654 0.5321 0.8003
Cl: 0.3446 0.3446 0.2160
Cl: 0.4495 0.8305 0.2330
Cl: 0.5321 0.1654 0.8003
Cl: 0.6573 0.6573 0.8479
Cl: 0.8305 0.4495 0.2330
Cl: 0.9599 0.9599 0.6071

Calculated values
Formation energy without anion corrections: -1356 meV/atom
Total moment: 0.01 μB/atom

***

16.
A plane-wave DFT calculation with PBE-GGA was carried out for crystalline K2PmPbCl8 at its relaxed geometry.

a b c (Å): 6.8292 8.6078 7.1012
angles (deg): 90.00 92.90 90.00
Element x y z (fractional)
K: 0.0000 0.2471 0.0000
K: 0.0000 0.7529 0.0000
Pm: 0.5000 0.0000 0.5000
Pb: 0.5000 0.5000 0.5000
Cl: 0.2674 0.0000 0.1855
Cl: 0.2761 0.5000 0.1826
Cl: 0.2832 0.2471 0.6364
Cl: 0.2832 0.7529 0.6364
Cl: 0.7168 0.2471 0.3636
Cl: 0.7168 0.7529 0.3636
Cl: 0.7239 0.5000 0.8174
Cl: 0.7326 0.0000 0.8145

Calculated values
Formation energy without anion corrections: -1661 meV/atom
Total moment: 0.03 μB/atom

***

17.
A plane-wave DFT calculation with PBE-GGA was carried out for crystalline KPmPb2Cl8 at its relaxed geometry.

a b c (Å): 6.6253 8.9497 6.8850
angles (deg): 90.00 90.76 90.00
Element x y z (fractional)
K: 0.0000 0.0000 0.0000
Pm: 0.0000 0.5000 0.0000
Pb: 0.5000 0.2466 0.5000
Pb: 0.5000 0.7534 0.5000
Cl: 0.2303 0.2786 0.1622
Cl: 0.2303 0.7214 0.1622
Cl: 0.2515 0.5000 0.6831
Cl: 0.2799 0.0000 0.6435
Cl: 0.7201 0.0000 0.3565
Cl: 0.7485 0.5000 0.3169
Cl: 0.7697 0.2786 0.8378
Cl: 0.7697 0.7214 0.8378

Calculated values
Formation energy without anion corrections: -1665 meV/atom
Total moment: 0.00 μB/atom

***

18.
A plane-wave DFT calculation with PBE-GGA was carried out for crystalline KPrPb2Cl8 at its relaxed geometry.

a b c (Å): 6.6603 8.9884 6.9064
angles (deg): 90.00 90.72 90.00
Element x y z (fractional)
K: 0.0000 0.0000 0.0000
Pr: 0.0000 0.5000 0.0000
Pb: 0.5000 0.2452 0.5000
Pb: 0.5000 0.7548 0.5000
Cl: 0.2324 0.2756 0.1630
Cl: 0.2324 0.7244 0.1630
Cl: 0.2543 0.5000 0.6791
Cl: 0.2814 0.0000 0.6452
Cl: 0.7186 0.0000 0.3548
Cl: 0.7457 0.5000 0.3209
Cl: 0.7676 0.2756 0.8370
Cl: 0.7676 0.7244 0.8370

Calculated values
Formation energy without anion corrections: -1662 meV/atom
Total moment: 0.00 μB/atom

***

19.
A plane-wave DFT calculation with PBE-GGA was carried out for crystalline KRb2PbCl at its relaxed geometry.

a b c (Å): 6.3434 6.3434 6.0347
angles (deg): 90.00 90.00 90.00
Element x y z (fractional)
K: 0.0000 0.0000 0.0000
Rb: 0.0000 0.5000 0.5000
Rb: 0.5000 0.0000 0.5000
Pb: 0.5000 0.5000 0.0000
Cl: 0.0000 0.0000 0.5000

Calculated values
Formation energy without anion corrections: -679 meV/atom
Total moment: 0.40 μB/atom

***

20.
A plane-wave DFT calculation with PBE-GGA was carried out for crystalline KRb2PbCl6 at its relaxed geometry.

a b c (Å): 7.7439 8.1731 13.5142
angles (deg): 90.00 124.75 90.00
Element x y z (fractional)
K: 0.0000 0.0000 0.0000
K: 0.0000 0.5000 0.5000
Rb: 0.2237 0.0709 0.7481
Rb: 0.2237 0.4291 0.2481
Rb: 0.7763 0.5709 0.7519
Rb: 0.7763 0.9291 0.2519
Pb: 0.5000 0.0000 0.5000
Pb: 0.5000 0.5000 0.0000
Cl: 0.1612 0.1843 0.4470
Cl: 0.1612 0.3157 0.9470
Cl: 0.2599 0.7203 0.4366
Cl: 0.2599 0.7797 0.9366
Cl: 0.3798 0.0418 0.2676
Cl: 0.3798 0.4582 0.7676
Cl: 0.6202 0.5418 0.2324
Cl: 0.6202 0.9582 0.7324
Cl: 0.7401 0.2203 0.0634
Cl: 0.7401 0.2797 0.5634
Cl: 0.8388 0.6843 0.0530
Cl: 0.8388 0.8157 0.5530

Calculated values
Formation energy without anion corrections: -1523 meV/atom
Total moment: 0.04 μB/atom
Offset from the most stable computed form: 0.0 meV/atom

***

21.
A plane-wave DFT calculation with PBE-GGA was carried out for crystalline KRbPbCl6 at its relaxed geometry.

a b c (Å): 7.0382 7.0382 13.7238
angles (deg): 90.00 90.00 90.00
Element x y z (fractional)
K: 0.0000 0.0000 0.0000
K: 0.5000 0.5000 0.5000
Rb: 0.0000 0.0000 0.3313
Rb: 0.5000 0.5000 0.8313
Pb: 0.0000 0.0000 0.6662
Pb: 0.5000 0.5000 0.1662
Cl: 0.1754 0.1754 0.8046
Cl: 0.1826 0.1826 0.5326
Cl: 0.2412 0.2412 0.1621
Cl: 0.2588 0.7412 0.6621
Cl: 0.3174 0.6826 0.0326
Cl: 0.3246 0.6754 0.3046
Cl: 0.6754 0.3246 0.3046
Cl: 0.6826 0.3174 0.0326
Cl: 0.7412 0.2588 0.6621
Cl: 0.7588 0.7588 0.1621
Cl: 0.8174 0.8174 0.5326
Cl: 0.8246 0.8246 0.8046

Calculated values
Formation energy without anion corrections: -1249 meV/atom
Total moment: 0.00 μB/atom

***

22.
A plane-wave DFT calculation with PBE-GGA was carried out for crystalline KRb2PbCl6 at its relaxed geometry.

a b c (Å): 8.0463 8.0463 8.0463
angles (deg): 60.00 60.00 60.00
Element x y z (fractional)
K: 0.0000 0.0000 0.0000
Rb: 0.2500 0.2500 0.2500
Rb: 0.7500 0.7500 0.7500
Pb: 0.5000 0.5000 0.5000
Cl: 0.2620 0.2620 0.7380
Cl: 0.2620 0.7380 0.2620
Cl: 0.2620 0.7380 0.7380
Cl: 0.7380 0.2620 0.2620
Cl: 0.7380 0.2620 0.7380
Cl: 0.7380 0.7380 0.2620

Calculated values
Formation energy without anion corrections: -1474 meV/atom
Total moment: 0.00 μB/atom
Offset from the most stable computed form: 49.5 meV/atom

***

23.
A plane-wave DFT calculation with PBE-GGA was carried out for crystalline KRbPb2Cl6 at its relaxed geometry.

a b c (Å): 7.9804 7.9804 7.9804
angles (deg): 58.80 58.80 58.80
Element x y z (fractional)
K: 0.0000 0.0000 0.0000
Rb: 0.5084 0.5084 0.5084
Pb: 0.2877 0.2877 0.2877
Pb: 0.7852 0.7852 0.7852
Cl: 0.0622 0.4267 0.6453
Cl: 0.1275 0.9441 0.5657
Cl: 0.4267 0.6453 0.0622
Cl: 0.5657 0.1275 0.9441
Cl: 0.6453 0.0622 0.4267
Cl: 0.9441 0.5657 0.1275

Calculated values
Formation energy without anion corrections: -1498 meV/atom
Total moment: 0.00 μB/atom

***

24.
A plane-wave DFT calculation with PBE-GGA was carried out for crystalline KRbPbCl4 at its relaxed geometry.

a b c (Å): 9.1816 9.1816 9.1816
angles (deg): 144.01 144.01 51.81
Element x y z (fractional)
K: 0.0000 0.0000 0.0000
Rb: 0.2792 0.2792 0.0000
Pb: 0.6402 0.6402 0.0000
Cl: 0.1354 0.6354 0.5000
Cl: 0.4695 0.4695 0.0000
Cl: 0.6354 0.1354 0.5000
Cl: 0.8158 0.8158 0.0000

Calculated values
Formation energy without anion corrections: -1574 meV/atom
Total moment: 0.00 μB/atom